This record from Alexandria describes a relaxed WBrF3 crystal. The functional is PBE+U.

## Properties
Its volume is 16.04 Å³/atom. The raw total energy is -4.57 eV/atom. The density of states at the Fermi level comes out at 1.839 states/eV/atom.

The structure in POSCAR format:
```
WBrF3
1.0
-2.526 -1.468 -3.172
0.638 -4.041 1.362
-3.436 0.329 2.584
W Br F
1 1 3
direct
0.000 0.000 0.000
0.500 0.500 0.500
0.000 0.500 0.000
0.000 0.000 0.500
0.500 0.000 0.000
```